[1]
Density functional theory data (GGA-PBE) for crystalline PmBeOs at its relaxed geometry.

Results
ρ = 11.09 g/cm³
calculated formation energy = -0.093 eV per atom
total energy = -6.662 eV per atom
relative energy among the computed polymorphs = 0.0000 eV/atom

Cell lengths 5.1984, 5.4756, 7.2421 Å; angles 90.00, 90.00, 90.00 degrees
Space group Imma (No. 74)
Asymmetric unit:
1 Pm 0.0000 0.2500 0.1204 (multiplicity 4)
2 Be 0.0000 0.0000 0.5000 (multiplicity 4)
3 Os 0.2500 0.2500 0.7500 (multiplicity 4)



[2]
Density functional theory data (GGA-PBE) for crystalline PmBeOs at its relaxed geometry.

Results
ρ = 10.26 g/cm³
calculated formation energy = -0.044 eV per atom
total energy = -6.613 eV per atom
relative energy among the computed polymorphs = 0.0489 eV/atom

Cell lengths 3.9942, 3.9942, 4.0336 Å; angles 90.00, 90.00, 120.00 degrees
Space group P-6m2 (No. 187)
Asymmetric unit:
1 Pm 0.0000 0.0000 0.0000 (multiplicity 1)
2 Be 0.3333 0.6667 0.5000 (multiplicity 1)
3 Os 0.6667 0.3333 0.5000 (multiplicity 1)



[3]
Density functional theory data (GGA-PBE) for crystalline PmBe3Os at its relaxed geometry.

Results
ρ = 7.50 g/cm³
calculated formation energy = -0.079 eV per atom
total energy = -5.511 eV per atom

Cell lengths 4.3129, 4.3129, 4.3129 Å; angles 90.00, 90.00, 90.00 degrees
Space group Pm-3m (No. 221)
Asymmetric unit:
1 Pm 0.0000 0.0000 0.0000 (multiplicity 1)
2 Be 0.0000 0.5000 0.5000 (multiplicity 3)
3 Os 0.5000 0.5000 0.5000 (multiplicity 1)



[4]
Density functional theory data (GGA-PBE) for crystalline PmScBeOs at its relaxed geometry.

Results
ρ = 8.48 g/cm³
calculated formation energy = -0.012 eV per atom
total energy = -6.521 eV per atom

Cell lengths 6.7306, 6.7306, 6.7306 Å; angles 90.00, 90.00, 90.00 degrees
Space group F-43m (No. 216)
Asymmetric unit:
1 Pm 0.0000 0.0000 0.0000 (multiplicity 4)
2 Sc 0.0000 0.0000 0.5000 (multiplicity 4)
3 Be 0.2500 0.2500 0.7500 (multiplicity 4)
4 Os 0.2500 0.2500 0.2500 (multiplicity 4)



[5]
Density functional theory data (GGA-PBE) for crystalline PmBe2Si2Os at its relaxed geometry.

Results
ρ = 7.68 g/cm³
total energy = -6.111 eV per atom

Cell lengths 3.9118, 3.9118, 6.6774 Å; angles 90.00, 90.00, 120.00 degrees
Space group P-3m1 (No. 164)
Asymmetric unit:
1 Pm 0.0000 0.0000 0.0000 (multiplicity 1)
2 Be 0.3333 0.6667 0.3375 (multiplicity 2)
3 Si 0.3333 0.6667 0.7040 (multiplicity 2)
4 Os 0.0000 0.0000 0.5000 (multiplicity 1)



[6]
Density functional theory data (GGA-PBE) for crystalline PmBeSi2Os2 at its relaxed geometry.

Results
ρ = 10.27 g/cm³
total energy = -7.409 eV per atom

Cell lengths 4.2509, 4.2509, 5.2827 Å; angles 90.00, 90.00, 90.00 degrees
Space group P4/mmm (No. 123)
Asymmetric unit:
1 Pm 0.0000 0.0000 0.0000 (multiplicity 1)
2 Be 0.0000 0.0000 0.5000 (multiplicity 1)
3 Si 0.5000 0.5000 0.2358 (multiplicity 2)
4 Os 0.0000 0.5000 0.5000 (multiplicity 2)